Compound: Mn2CrPd
Source: Alexandria via LeMat-Bulk
Functional: PBE-GGA
Structure: relaxed

Cell lengths 4.1120, 4.1120, 4.1120 Å; angles 60.00, 60.00, 60.00 degrees
Last column: nearest neighbours and their distance in Å.
Fractional positions:
Mn 0.2500 0.2500 0.2500  4 Cr 2.52, 4 Pd 2.52
Pd 0.5000 0.5000 0.5000  8 Mn 2.52
Cr 0.0000 0.0000 0.0000  8 Mn 2.52
Mn 0.7500 0.7500 0.7500  4 Pd 2.52, 4 Cr 2.52

Results
The calculation puts the calculated volume at 49 Å³/f.u. As for the space group: No. 225. The formation energy from the elements comes out at 380 meV/atom.